VASP calculation (GGA-PBE) on Pm12Sn5Au2 after structural relaxation.

POSCAR file:
```
Pm12Sn5Au2
1.0
8.708 -3.854 0.000
8.708 3.854 0.000
-1.714 0.000 9.606
Pm Sn Au
12 5 2
Direct
0.013 0.013 0.291 Pm
0.086 0.580 0.896 Pm
0.105 0.601 0.426 Pm
0.399 0.895 0.574 Pm
0.420 0.914 0.104 Pm
0.477 0.477 0.171 Pm
0.523 0.523 0.829 Pm
0.580 0.086 0.896 Pm
0.601 0.105 0.426 Pm
0.895 0.399 0.574 Pm
0.914 0.420 0.104 Pm
0.987 0.987 0.709 Pm
0.175 0.175 0.838 Sn
0.204 0.204 0.360 Sn
0.500 0.500 0.500 Sn
0.796 0.796 0.640 Sn
0.825 0.825 0.162 Sn
0.184 0.816 0.000 Au
0.816 0.184 0.000 Au
```

Output
* uncorrected energy: -4.8251 eV/atom
* energy relative to the elements: -426 meV per atom
* total magnetization: 0.000 μB per atom